[1]
Crystalline La2DyPu3Se6 at its relaxed geometry, computed with PBE.

Lattice parameters (Å, degrees): 4.177 8.417 9.384 103.28 102.86 90.00
Fractional positions:
La (0.834, 0.667, 0.668)
La (0.166, 0.333, 0.332)
Dy (0.500, 0.000, 0.000)
Pu (0.500, 0.500, 0.000)
Pu (0.831, 0.165, 0.663)
Pu (0.169, 0.835, 0.337)
Se (0.336, 0.926, 0.672)
Se (0.664, 0.591, 0.328)
Se (0.664, 0.074, 0.328)
Se (0.996, 0.243, 0.992)
Se (0.004, 0.757, 0.008)
Se (0.336, 0.409, 0.672)

Values from the calculation:
* space-group type: C2/m, No. 12
* total energy: -99.09 eV/cell

=====

[2]
Crystalline Sr2LiInSe at its relaxed geometry, computed with PBE.

Lattice parameters (Å, degrees): 6.014 6.014 4.711 90.00 90.00 90.00
Fractional positions:
Sr (0.000, 0.500, 0.000)
Sr (0.500, 0.000, 0.000)
Li (0.000, 0.000, 0.500)
Se (0.000, 0.000, 0.000)
In (0.500, 0.500, 0.500)

Values from the calculation:
* space-group type: P4/mmm, No. 123
* total energy: -15.57 eV/cell

=====

[3]
Crystalline Ac5Pm2Sn12 at its relaxed geometry, computed with PBE.

Lattice parameters (Å, degrees): 8.202 9.411 9.924 105.48 90.00 115.83
Fractional positions:
Ac (0.249, 0.497, 0.740)
Ac (0.351, 0.701, 0.331)
Ac (0.000, 0.000, 0.500)
Ac (0.649, 0.299, 0.669)
Ac (0.751, 0.503, 0.260)
Pm (0.718, 0.000, 0.000)
Pm (0.282, 0.000, 0.000)
Sn (0.936, 0.871, 0.163)
Sn (0.990, 0.623, 0.939)
Sn (0.632, 0.623, 0.939)
Sn (0.036, 0.676, 0.587)
Sn (0.640, 0.676, 0.587)
Sn (0.449, 0.898, 0.700)
Sn (0.551, 0.102, 0.300)
Sn (0.964, 0.324, 0.413)
Sn (0.360, 0.324, 0.413)
Sn (0.010, 0.377, 0.061)
Sn (0.368, 0.377, 0.061)
Sn (0.064, 0.129, 0.837)

Values from the calculation:
* space-group type: C2/m, No. 12
* energy of formation from the pure elements: -7.99 eV per formula unit

=====

[4]
Crystalline TmLuW4 at its relaxed geometry, computed with PBE.

Lattice parameters (Å, degrees): 5.503 5.503 5.503 60.00 60.00 60.00
Fractional positions:
Lu (0.000, 0.000, 0.000)
Tm (0.250, 0.250, 0.250)
W (0.625, 0.625, 0.125)
W (0.625, 0.125, 0.625)
W (0.625, 0.625, 0.625)
W (0.125, 0.625, 0.625)

Values from the calculation:
* space-group type: F-43m, No. 216
* energy of formation from the pure elements: 0.48 eV per formula unit

=====

[5]
Crystalline ZrCd2B at its relaxed geometry, computed with PBE.

Lattice parameters (Å, degrees): 7.802 7.802 6.048 49.84 49.84 90.00
Fractional positions:
B (0.500, 0.500, 0.000)
B (0.250, 0.750, 0.500)
Zr (0.000, 0.000, 0.000)
Zr (0.750, 0.250, 0.500)
Cd (0.543, 0.125, 0.250)
Cd (0.207, 0.625, 0.250)
Cd (0.375, 0.457, 0.750)
Cd (0.875, 0.793, 0.750)

Values from the calculation:
* space-group type: I-42d, No. 122
* energy of formation from the pure elements: 1.58 eV per formula unit

=====

[6]
Crystalline MnHg2Ir at its relaxed geometry, computed with PBE.

Lattice parameters (Å, degrees): 3.003 3.003 8.165 90.00 90.00 90.00
Fractional positions:
Hg (0.000, 0.000, 0.969)
Hg (0.500, 0.500, 0.281)
Ir (0.000, 0.000, 0.536)
Mn (0.500, 0.500, 0.714)

Values from the calculation:
* ΔE to the lowest computed polymorph: 0 meV/atom
* space-group type: P4mm, No. 99
* energy of formation from the pure elements: 0.85 eV per formula unit

=====

[7]
Crystalline Ac3Mn2Ge9 at its relaxed geometry, computed with PBE.

Lattice parameters (Å, degrees): 6.504 6.504 8.424 90.00 90.00 120.00
Fractional positions:
Ac (0.667, 0.333, 0.669)
Ac (0.000, 0.000, 0.000)
Ac (0.333, 0.667, 0.331)
Mn (0.667, 0.333, 0.206)
Mn (0.333, 0.667, 0.794)
Ge (0.141, 0.859, 0.636)
Ge (0.141, 0.282, 0.636)
Ge (0.500, 0.500, 0.000)
Ge (0.859, 0.718, 0.364)
Ge (0.282, 0.141, 0.364)
Ge (0.718, 0.859, 0.636)
Ge (0.859, 0.141, 0.364)
Ge (0.000, 0.500, 0.000)
Ge (0.500, 0.000, 0.000)

Values from the calculation:
* space-group type: P-3m1, No. 164
* energy of formation from the pure elements: -4.67 eV per formula unit

=====

[8]
Crystalline Cs4Rb2SnAs2 at its relaxed geometry, computed with PBE.

Lattice parameters (Å, degrees): 5.217 10.169 10.169 74.89 75.16 75.16
Fractional positions:
Cs (0.132, 0.678, 0.058)
Cs (0.868, 0.942, 0.322)
Cs (0.868, 0.322, 0.942)
Cs (0.132, 0.058, 0.678)
Rb (0.349, 0.651, 0.651)
Rb (0.651, 0.349, 0.349)
Sn (0.500, 0.000, 0.000)
As (0.312, 0.188, 0.188)
As (0.688, 0.812, 0.812)

Values from the calculation:
* space-group type: Immm, No. 71
* energy of formation from the pure elements: -1.37 eV per formula unit

=====

| no. | V (Å³/atom) | DOS(E_F) (states/eV per atom) |
| --- | --- | --- |
| 1 | 26.1 | 2.2021 |
| 2 | 34.1 | 0.7282 |
| 3 | 34.7 | 0.4708 |
| 4 | 19.6 | 1.2789 |
| 5 | 18.9 | 0.7062 |
| 6 | 18.4 | 0.7757 |
| 7 | 22.0 | 0.6115 |
| 8 | 54.8 | 0.9963 |